First-principles (PBE-GGA) data for CaTlGeO4 after structural relaxation, as listed in Alexandria via LeMat-Bulk.

Lattice parameters (Å, degrees): 6.5799 6.5799 6.5799 122.19 117.88 89.97
Fractional positions:
Ca 0.0000 0.0000 0.0000
Ca 0.5000 0.0000 0.5000
Tl 0.5000 0.0000 0.0000
Tl 0.5000 0.5000 0.5000
Ge 0.1242 0.3742 0.7500
Ge 0.8758 0.6258 0.2500
O 0.2064 0.7408 0.4656
O 0.2248 0.2592 0.9656
O 0.2330 0.2470 0.5141
O 0.2330 0.7189 0.9859
O 0.7670 0.2811 0.0141
O 0.7670 0.7530 0.4859
O 0.7752 0.7408 0.0344
O 0.7936 0.2592 0.5344

SG = Imma
Density of states at the Fermi level = 3.5 states/eV/cell
Formation energy from raw total energies = -1670 meV per atom
Final energy = -5.79 eV/atom


First-principles (PBE-GGA) data for Ca3Tm2Ge3O12 after structural relaxation, as listed in Alexandria via LeMat-Bulk.

Lattice parameters (Å, degrees): 11.1487 11.1487 11.1487 109.47 109.47 109.47
Fractional positions:
Ca 0.1250 0.2500 0.3750
Ca 0.1250 0.3750 0.7500
Ca 0.2500 0.3750 0.1250
Ca 0.2500 0.8750 0.6250
Ca 0.3750 0.1250 0.2500
Ca 0.3750 0.7500 0.1250
Ca 0.6250 0.2500 0.8750
Ca 0.6250 0.8750 0.7500
Ca 0.7500 0.1250 0.3750
Ca 0.7500 0.6250 0.8750
Ca 0.8750 0.6250 0.2500
Ca 0.8750 0.7500 0.6250
Tm 0.0000 0.0000 0.0000
Tm 0.0000 0.0000 0.5000
Tm 0.0000 0.5000 0.0000
Tm 0.0000 0.5000 0.5000
Tm 0.5000 0.0000 0.0000
Tm 0.5000 0.0000 0.5000
Tm 0.5000 0.5000 0.0000
Tm 0.5000 0.5000 0.5000
Ge 0.1250 0.7500 0.8750
Ge 0.1250 0.8750 0.2500
Ge 0.2500 0.1250 0.8750
Ge 0.2500 0.6250 0.3750
Ge 0.3750 0.2500 0.6250
Ge 0.3750 0.6250 0.7500
Ge 0.6250 0.3750 0.2500
Ge 0.6250 0.7500 0.3750
Ge 0.7500 0.3750 0.6250
Ge 0.7500 0.8750 0.1250
Ge 0.8750 0.1250 0.7500
Ge 0.8750 0.2500 0.1250
O 0.0194 0.2138 0.1239
O 0.0194 0.3056 0.8955
O 0.0899 0.7138 0.6944
O 0.0899 0.8761 0.3955
O 0.1045 0.6239 0.4101
O 0.1045 0.9806 0.6944
O 0.1239 0.0194 0.2138
O 0.1239 0.6045 0.9101
O 0.1944 0.2138 0.5899
O 0.1944 0.4806 0.6045
O 0.2138 0.1239 0.0194
O 0.2138 0.5899 0.1944
O 0.2862 0.3056 0.9101
O 0.2862 0.4806 0.3761
O 0.3056 0.8955 0.0194
O 0.3056 0.9101 0.2862
O 0.3761 0.2862 0.4806
O 0.3761 0.5899 0.8955
O 0.3955 0.0899 0.8761
O 0.3955 0.8056 0.5194
O 0.4101 0.1045 0.6239
O 0.4101 0.8056 0.7862
O 0.4806 0.3761 0.2862
O 0.4806 0.6045 0.1944
O 0.5194 0.3955 0.8056
O 0.5194 0.6239 0.7138
O 0.5899 0.1944 0.2138
O 0.5899 0.8955 0.3761
O 0.6045 0.1944 0.4806
O 0.6045 0.9101 0.1239
O 0.6239 0.4101 0.1045
O 0.6239 0.7138 0.5194
O 0.6944 0.0899 0.7138
O 0.6944 0.1045 0.9806
O 0.7138 0.5194 0.6239
O 0.7138 0.6944 0.0899
O 0.7862 0.4101 0.8056
O 0.7862 0.8761 0.9806
O 0.8056 0.5194 0.3955
O 0.8056 0.7862 0.4101
O 0.8761 0.3955 0.0899
O 0.8761 0.9806 0.7862
O 0.8955 0.0194 0.3056
O 0.8955 0.3761 0.5899
O 0.9101 0.1239 0.6045
O 0.9101 0.2862 0.3056
O 0.9806 0.6944 0.1045
O 0.9806 0.7862 0.8761

SG = Ia-3d
Density of states at the Fermi level = 0.0 states/eV/cell
Formation energy from raw total energies = -2709 meV per atom
Final energy = -7.12 eV/atom


First-principles (PBE-GGA) data for CaTm2Ge4O12 after structural relaxation, as listed in Alexandria via LeMat-Bulk.

Lattice parameters (Å, degrees): 10.0505 10.0505 5.0775 90.00 90.00 90.05
Fractional positions:
Ca 0.0000 0.0000 0.0000
Ca 0.5000 0.5000 0.0000
Tm 0.0000 0.5000 0.0000
Tm 0.2500 0.2500 0.0000
Tm 0.5000 0.0000 0.0000
Tm 0.7500 0.7500 0.0000
Ge 0.0194 0.7493 0.5050
Ge 0.2493 0.5194 0.5050
Ge 0.2507 0.9806 0.5050
Ge 0.4806 0.7507 0.5050
Ge 0.5194 0.2493 0.4950
Ge 0.7493 0.0194 0.4950
Ge 0.7507 0.4806 0.4950
Ge 0.9806 0.2507 0.4950
O 0.0579 0.3288 0.7621
O 0.0719 0.1772 0.2456
O 0.1221 0.6221 0.6718
O 0.1304 0.8696 0.3535
O 0.1712 0.4421 0.2379
O 0.1772 0.0719 0.7544
O 0.3228 0.4281 0.7544
O 0.3288 0.0579 0.2379
O 0.3696 0.6304 0.3535
O 0.3779 0.8779 0.6718
O 0.4281 0.3228 0.2456
O 0.4421 0.1712 0.7621
O 0.5579 0.8288 0.2379
O 0.5719 0.6772 0.7544
O 0.6221 0.1221 0.3282
O 0.6304 0.3696 0.6465
O 0.6712 0.9421 0.7621
O 0.6772 0.5719 0.2456
O 0.8228 0.9281 0.2456
O 0.8288 0.5579 0.7621
O 0.8696 0.1304 0.6465
O 0.8779 0.3779 0.3282
O 0.9281 0.8228 0.7544
O 0.9421 0.6712 0.2379

SG = Cmme
Density of states at the Fermi level = 0.0 states/eV/cell
Formation energy from raw total energies = -2406 meV per atom
Final energy = -7.09 eV/atom


First-principles (PBE-GGA) data for CaUGeO5 after structural relaxation, as listed in Alexandria via LeMat-Bulk.

Lattice parameters (Å, degrees): 5.9129 5.9129 7.8311 102.49 102.49 107.15
Fractional positions:
Ca 0.1625 0.8375 0.7500
Ca 0.8375 0.1625 0.2500
U 0.5000 0.5000 0.0000
U 0.5000 0.5000 0.5000
Ge 0.1772 0.8228 0.2500
Ge 0.8228 0.1772 0.7500
O 0.1073 0.2217 0.9132
O 0.1622 0.5861 0.3606
O 0.2217 0.1073 0.4132
O 0.4038 0.5962 0.7500
O 0.4139 0.8378 0.1394
O 0.5861 0.1622 0.8606
O 0.5962 0.4038 0.2500
O 0.7783 0.8927 0.5868
O 0.8378 0.4139 0.6394
O 0.8927 0.7783 0.0867

SG = C2/c
Density of states at the Fermi level = 9.9 states/eV/cell
Formation energy from raw total energies = -2592 meV per atom
Final energy = -7.93 eV/atom


First-principles (PBE-GGA) data for CaUGe2O8 after structural relaxation, as listed in Alexandria via LeMat-Bulk.

Lattice parameters (Å, degrees): 8.6852 8.6852 8.6852 33.25 33.25 33.25
Fractional positions:
Ca 0.0000 0.0000 0.0000
U 0.5000 0.5000 0.5000
Ge 0.2515 0.2515 0.2515
Ge 0.7485 0.7485 0.7485
O 0.1143 0.4576 0.7615
O 0.2385 0.5424 0.8857
O 0.3211 0.3211 0.3211
O 0.4576 0.7615 0.1143
O 0.5424 0.8857 0.2385
O 0.6789 0.6789 0.6789
O 0.7615 0.1143 0.4576
O 0.8857 0.2385 0.5424

SG = R32
Formation energy from raw total energies = -2105 meV per atom
Final energy = -7.29 eV/atom